# SmTlSnAu PBE optimized geometry
# * E_form: -0.3598 eV/atom
# * VASP energy: -3.95 eV/atom
data_SmTlSnAu
_cell_length_a 7.398
_cell_length_b 7.398
_cell_length_c 7.398
_cell_angle_alpha 90.00
_cell_angle_beta 90.00
_cell_angle_gamma 90.00
_symmetry_space_group_name_H-M 'F -4 3 m'
_symmetry_Int_Tables_number 216
_symmetry_space_group_name_Hall 'F -4 2 3'
loop_
_atom_site_label
_atom_site_fract_x
_atom_site_fract_y
_atom_site_fract_z
_atom_site_occupancy
Sm1 0.000 0.000 0.000 1
Tl1 0.250 0.250 0.750 1
Sn1 0.000 0.000 0.500 1
Au1 0.250 0.250 0.250 1